Entry 1:
Here is a relaxed structure of SrMgPaN3 from the Alexandria database. Energies are from PBE. Values from VASP.

Output
- Raw formation energy: -1201.3 meV per atom
- Space-group type: P2_1/m
- DFT total energy: -7.4927 eV per atom
- Fermi-level density of states: 0.00 states/eV/cell
- Volume: 17.090 Å³ per atom

```
&SYSTEM
  ibrav = 0, nat = 12, ntyp = 4
/
ATOMIC_SPECIES
Sr 87.62 Sr.upf
N 14.01 N.upf
Pa 231.04 Pa.upf
Mg 24.30 Mg.upf
CELL_PARAMETERS angstrom
3.642 0.000 0.000
0.000 8.912 1.035
0.000 -2.080 6.078
ATOMIC_POSITIONS angstrom
Sr 2.731 4.838 4.640
N 0.910 6.535 3.653
Pa 0.910 5.666 1.492
N 2.731 0.297 3.460
N 2.731 6.890 1.099
N 0.910 -0.058 6.014
N 0.910 2.724 5.339
N 2.731 4.108 1.774
Mg 0.910 -0.868 4.093
Mg 2.731 7.700 3.020
Pa 2.731 1.165 5.620
Sr 0.910 1.994 2.473
```


Entry 2:
Here is a relaxed structure of SrIn2Ga6 from the Alexandria database. Energies are from PBE. Values from VASP.

Output
- Space-group type: P6/mmm
- Offset from the most stable computed form: 0 meV/atom
- DFT total energy: -2.9268 eV per atom
- Fermi-level density of states: 3.39 states/eV/cell
- Volume: 23.820 Å³ per atom
- ΔE_f: -0.11 eV/atom

```
&SYSTEM
  ibrav = 0, nat = 9, ntyp = 3
/
ATOMIC_SPECIES
Ga 69.72 Ga.upf
In 114.82 In.upf
Sr 87.62 Sr.upf
CELL_PARAMETERS angstrom
4.275 0.000 0.000
0.000 6.590 -3.805
0.000 0.000 7.610
ATOMIC_POSITIONS angstrom
Ga 2.137 4.356 2.515
In 0.000 2.197 3.805
Ga 2.137 2.234 1.290
In 4.275 4.393 0.000
Ga 2.137 2.234 -1.290
Ga 2.137 6.590 -1.225
Sr 0.000 0.000 7.610
Ga 2.137 0.000 5.030
Ga 2.137 4.356 5.095
```


Entry 3:
Here is a relaxed structure of Sr2UGeS5 from the Alexandria database. Energies are from PBE. Values from VASP.

Output
- Raw formation energy: -1400.0 meV per atom
- Space-group type: Cmc2_1
- DFT total energy: -5.8340 eV per atom
- Fermi-level density of states: 8.66 states/eV/cell
- Volume: 26.160 Å³ per atom

```
&SYSTEM
  ibrav = 0, nat = 18, ntyp = 4
/
ATOMIC_SPECIES
S 32.06 S.upf
Sr 87.62 Sr.upf
Ge 72.64 Ge.upf
U 238.03 U.upf
CELL_PARAMETERS angstrom
4.121 0.000 0.000
-2.060 8.614 0.000
0.000 0.000 13.265
ATOMIC_POSITIONS angstrom
S 2.060 4.059 2.237
S 2.060 7.344 7.485
S 0.000 5.284 5.312
S 2.060 0.053 3.518
S 2.060 2.172 6.486
Sr 0.000 2.249 4.030
Ge 0.000 7.739 5.902
Sr 0.000 1.496 8.710
Sr 2.060 6.364 10.663
Ge 2.060 0.875 12.535
S 0.000 1.270 0.853
Sr 2.060 7.118 2.077
U 2.060 4.770 7.046
S 2.060 3.330 11.945
S 0.000 6.441 13.119
S 0.000 8.561 10.150
U 0.000 3.844 0.413
S 0.000 4.555 8.869
```


Entry 4:
Here is a relaxed structure of Rb3LiMg2Cl8 from the Alexandria database. Energies are from PBE. Values from VASP.

Output
- Raw formation energy: -1880.2 meV per atom
- Space-group type: P-3m1
- DFT total energy: -3.5073 eV per atom
- Fermi-level density of states: 0.00 states/eV/cell
- Volume: 30.423 Å³ per atom

```
&SYSTEM
  ibrav = 0, nat = 14, ntyp = 4
/
ATOMIC_SPECIES
Cl 35.45 Cl.upf
Rb 85.47 Rb.upf
Li 6.94 Li.upf
Mg 24.30 Mg.upf
CELL_PARAMETERS angstrom
-6.373 -2.001 2.879
6.164 -1.075 3.709
-0.878 8.395 3.892
ATOMIC_POSITIONS angstrom
Cl 3.830 1.503 4.839
Cl -1.668 4.837 4.174
Cl -1.775 3.268 7.532
Cl 0.688 2.051 2.948
Cl -4.917 3.816 5.641
Cl 0.581 0.483 6.307
Rb 1.432 3.907 5.885
Li -0.439 4.198 1.946
Cl 1.131 6.779 7.216
Cl -2.218 -1.460 3.264
Mg -2.879 4.860 6.193
Rb 0.000 0.000 0.000
Rb -2.519 1.413 4.595
Mg 1.792 0.459 4.287
```


Entry 5:
Here is a relaxed structure of ScNiOs2 from the Alexandria database. Energies are from PBE. Values from VASP.

Output
- Space-group type: I-4m2
- Offset from the most stable computed form: 30 meV/atom
- DFT total energy: -8.6998 eV per atom
- Fermi-level density of states: 3.47 states/eV/cell
- Volume: 14.605 Å³ per atom
- ΔE_f: -0.06 eV/atom

```
&SYSTEM
  ibrav = 0, nat = 4, ntyp = 3
/
ATOMIC_SPECIES
Ni 58.69 Ni.upf
Os 190.23 Os.upf
Sc 44.96 Sc.upf
CELL_PARAMETERS angstrom
-3.802 1.554 -2.170
-3.223 0.465 3.313
4.345 1.638 -0.134
ATOMIC_POSITIONS angstrom
Ni -1.485 2.101 -0.866
Os -1.196 1.557 1.875
Sc -3.513 1.010 0.571
Os 0.000 0.000 0.000
```


Entry 6:
Here is a relaxed structure of SiN from the Alexandria database. Energies are from PBE. Values from VASP.

Output
- Raw formation energy: -534.5 meV per atom
- Space-group type: Imm2
- Offset from the most stable computed form: 217 meV/atom
- DFT total energy: -7.4086 eV per atom
- Fermi-level density of states: 1.67 states/eV/cell
- Volume: 10.955 Å³ per atom

```
&SYSTEM
  ibrav = 0, nat = 12, ntyp = 2
/
ATOMIC_SPECIES
N 14.01 N.upf
Si 28.09 Si.upf
CELL_PARAMETERS angstrom
-8.191 -3.674 -1.789
1.253 -1.944 -1.746
0.548 -3.090 3.836
ATOMIC_POSITIONS angstrom
N -1.308 -2.277 -0.808
Si 0.419 -2.363 2.933
N -5.756 -4.687 1.088
N -5.486 -4.151 -1.721
Si -1.578 -4.598 1.582
N 0.216 -1.220 1.514
Si -4.493 -5.905 0.946
Si -1.298 -1.551 0.795
Si -6.574 -3.917 -0.357
Si -3.324 -3.627 -0.752
N -1.743 -2.887 1.964
N -2.978 -5.574 1.665
```


Entry 7:
Here is a relaxed structure of CuNi14Mo from the Alexandria database. Energies are from PBE. Values from VASP.

Output
- Space-group type: P4/mmm
- DFT total energy: -5.9827 eV per atom
- Fermi-level density of states: 26.67 states/eV/cell
- Volume: 11.219 Å³ per atom
- ΔE_f: 0.01 eV/atom

```
&SYSTEM
  ibrav = 0, nat = 16, ntyp = 3
/
ATOMIC_SPECIES
Ni 58.69 Ni.upf
Mo 95.94 Mo.upf
Cu 63.55 Cu.upf
CELL_PARAMETERS angstrom
5.033 -0.011 0.000
0.011 5.033 0.000
0.000 0.000 7.086
ATOMIC_POSITIONS angstrom
Ni 4.408 1.878 0.000
Ni 4.408 1.878 3.543
Ni 1.897 4.400 3.543
Ni 3.150 3.137 1.743
Ni 0.632 0.629 5.343
Mo 4.413 4.394 3.543
Ni 1.891 1.883 0.000
Cu 1.891 1.883 3.543
Ni 3.150 3.137 5.343
Ni 3.145 0.624 5.344
Ni 3.145 0.624 1.743
Ni 0.637 3.143 1.743
Ni 0.637 3.143 5.344
Ni 0.632 0.629 1.743
Ni 4.413 4.394 0.000
Ni 1.897 4.400 0.000
```


Entry 8:
Here is a relaxed structure of KTi2ZnCr from the Alexandria database. Energies are from PBE. Values from VASP.

Output
- Space-group type: P4/mmm
- DFT total energy: -3.4003 eV per atom
- Fermi-level density of states: 11.41 states/eV/cell
- Volume: 16.846 Å³ per atom
- ΔE_f: 2.16 eV/atom

```
&SYSTEM
  ibrav = 0, nat = 5, ntyp = 4
/
ATOMIC_SPECIES
Ti 47.87 Ti.upf
Cr 52.00 Cr.upf
K 39.10 K.upf
Zn 65.41 Zn.upf
CELL_PARAMETERS angstrom
4.490 0.000 0.000
0.000 4.179 0.000
0.000 0.000 4.490
ATOMIC_POSITIONS angstrom
Ti 0.000 0.000 2.245
Cr 0.000 2.089 0.000
K 0.000 0.000 0.000
Ti 2.245 0.000 0.000
Zn 2.245 2.089 2.245
```


Entry 9:
Here is a relaxed structure of K3Be2Se4 from the Alexandria database. Energies are from PBE. Values from VASP.

Output
- Raw formation energy: -909.6 meV per atom
- Space-group type: C2/m
- DFT total energy: -3.6522 eV per atom
- Fermi-level density of states: 1.99 states/eV/cell
- Volume: 29.301 Å³ per atom

```
&SYSTEM
  ibrav = 0, nat = 9, ntyp = 3
/
ATOMIC_SPECIES
Be 9.01 Be.upf
K 39.10 K.upf
Se 78.96 Se.upf
CELL_PARAMETERS angstrom
-2.652 -1.141 -2.311
6.463 -5.506 -4.699
-3.427 -2.275 8.013
ATOMIC_POSITIONS angstrom
Be -2.778 -2.086 4.217
K 2.621 -3.891 -1.088
Se 1.683 -7.018 -1.426
K -2.237 -5.032 2.092
Be 3.162 -6.838 -3.213
Se -2.852 -4.048 5.270
Se 3.236 -4.875 -4.266
Se -1.298 -1.905 2.429
K 0.000 0.000 0.000
```


Entry 10:
Here is a relaxed structure of PrTmZn2 from the Alexandria database. Energies are from PBE. Values from VASP.

Output
- Space-group type: P4/mmm
- DFT total energy: -3.2684 eV per atom
- Fermi-level density of states: 3.92 states/eV/cell
- Volume: 23.616 Å³ per atom
- ΔE_f: -0.32 eV/atom

```
&SYSTEM
  ibrav = 0, nat = 4, ntyp = 3
/
ATOMIC_SPECIES
Zn 65.41 Zn.upf
Tm 168.93 Tm.upf
Pr 140.91 Pr.upf
CELL_PARAMETERS angstrom
3.576 0.000 0.000
0.000 3.576 0.000
0.000 0.000 7.388
ATOMIC_POSITIONS angstrom
Zn 0.000 0.000 5.740
Zn 0.000 0.000 1.648
Tm 1.788 1.788 0.000
Pr 1.788 1.788 3.694
```